SrY2Re, relaxed, DFT GGA-PBE; DFT formation energy = 0.445 eV/atom; electronic total energy = -6.3191 eV/atom; relative energy among the computed polymorphs = 99.0 kJ/mol of formula units
1.0
-3.7748 -0.1189 0.8063
0.7025 -2.4160 2.9296
0.8759 6.3649 5.0389
Y Re Sr
2 1 1
Cartesian
-1.2695 0.6699 3.4017 Y
0.0594 0.4315 0.3416 Y
0.3743 2.7198 2.1532 Re
-0.9226 3.1913 5.3978 Sr

Sr2YRe, relaxed, DFT GGA-PBE; DFT formation energy = 1.038 eV/atom; electronic total energy = -4.5311 eV/atom; relative energy among the computed polymorphs = 213.0 kJ/mol of formula units
1.0
0.0000 3.8586 3.8586
3.8586 0.0000 3.8586
3.8586 3.8586 0.0000
Re Sr Y
1 2 1
Cartesian
3.8586 3.8586 3.8586 Re
1.9293 1.9293 1.9293 Sr
5.7879 5.7879 5.7879 Sr
0.0000 0.0000 0.0000 Y

SrY2Re, relaxed, DFT GGA-PBE; DFT formation energy = 0.418 eV/atom; electronic total energy = -6.3463 eV/atom; relative energy among the computed polymorphs = 88.5 kJ/mol of formula units
1.0
8.1058 0.0449 -0.0061
5.8620 5.5986 0.0061
-6.6226 -3.7160 2.8354
Y Re Sr
2 1 1
Cartesian
2.9151 -0.9574 1.4146 Y
0.0684 0.0276 0.0000 Y
7.1363 2.8833 0.0000 Re
4.2093 2.7956 1.4207 Sr

SrY2Re, relaxed, DFT GGA-PBE; DFT formation energy = 0.189 eV/atom; electronic total energy = -6.5756 eV/atom; relative energy among the computed polymorphs = 0.0 kJ/mol of formula units
1.0
3.5208 -0.0125 0.0000
0.0122 3.5208 0.0000
0.0000 0.0000 9.8414
Sr Y Re
1 2 1
Cartesian
1.7665 1.7542 7.3810 Sr
0.0000 0.0000 0.8301 Y
0.0000 0.0000 4.0906 Y
1.7665 1.7542 2.4603 Re

Sr2Y2Re, relaxed, DFT GGA-PBE; DFT formation energy = 1.196 eV/atom; electronic total energy = -4.5515 eV/atom; relative energy among the computed polymorphs = 324.2 kJ/mol of formula units
1.0
4.2526 0.0000 0.0000
0.0000 4.2526 0.0000
2.1263 2.1263 10.2137
Sr Y Re
2 2 1
Cartesian
2.1263 2.1263 1.7528 Sr
4.2526 4.2526 8.4609 Sr
4.2526 2.1263 5.1068 Y
2.1263 4.2526 5.1068 Y
0.0000 0.0000 0.0000 Re

Sr2YRe, relaxed, DFT GGA-PBE; DFT formation energy = 1.007 eV/atom; electronic total energy = -4.5617 eV/atom; relative energy among the computed polymorphs = 201.2 kJ/mol of formula units
1.0
-9.3143 -7.0560 -1.8891
-7.8513 -8.8270 0.7440
-10.0075 -6.1608 1.4167
Y Re Sr
1 1 2
Cartesian
-6.7933 -5.5109 0.0679 Y
-20.3798 -16.5328 0.2038 Re
-0.4278 -0.3471 0.0043 Sr
-13.1587 -10.6748 0.1316 Sr

Sr2YRe, relaxed, DFT GGA-PBE; DFT formation energy = 0.598 eV/atom; electronic total energy = -4.9705 eV/atom; relative energy among the computed polymorphs = 43.4 kJ/mol of formula units
1.0
-4.3142 -0.3974 3.0496
-3.6939 -3.5609 1.3212
2.6074 -3.5931 7.5117
Y Sr Re
1 2 1
Cartesian
-3.5231 -3.5745 5.2779 Y
-7.0700 -3.8440 4.4983 Sr
-4.2026 -5.3876 8.3523 Sr
-1.3134 -2.4792 4.0662 Re

Sr2YRe, relaxed, DFT GGA-PBE; DFT formation energy = 0.960 eV/atom; electronic total energy = -4.6087 eV/atom; relative energy among the computed polymorphs = 183.1 kJ/mol of formula units
1.0
-4.9302 -0.2678 1.9745
0.8527 -2.6332 1.7720
2.3869 1.9815 6.2285
Sr Re Y
2 1 1
Cartesian
1.7030 -0.3664 4.2026 Sr
3.1563 -0.6112 7.7982 Sr
-0.0354 -0.6226 6.9877 Re
-1.6552 -0.2968 2.9874 Y

Question: Which value of electronic total energy does entry 5 give?
Answer: -4.5515 eV/atom